CoTcNF2: optimized geometry, GGA+U.

a b c (Å): 3.7437 3.7437 4.4446
angles (deg): 90.00 90.00 90.00
Closest atoms and distances in Å follow each position.
Element x y z (fractional)
1 F 0.5000 0.0000 0.0000  2 Co 1.87
2 F 0.0000 0.5000 0.0000  2 Co 1.87
3 Co 0.0000 0.0000 0.0000  4 F 1.87
4 N 0.0000 0.0000 0.5000  2 Co 2.22
5 Tc 0.5000 0.5000 0.5000  4 N 2.65, 8 F 2.91

Its theoretical density is 5.57 Mg/m³. The total energy is -27.58 eV/cell. The space group is P4/mmm, No. 123.